30
Lattice="-2.329 6.188 -4.384 -1.866 -7.506 1.767 -4.959 2.776 6.555" Properties=species:S:1:pos:R:3 comment="PBE Na5B9C, relaxed" polymorph_energy_ev_per_fu=0.24 space_group=P2_1/m pbc="T T T"
Na -1.979 -4.771 0.540
Na -4.445 -3.391 3.799
Na -6.990 0.753 5.859
Na -4.524 -0.628 2.600
Na -9.137 1.453 3.942
Na -6.668 0.070 0.679
Na -2.161 0.717 -1.927
Na -4.630 2.100 1.336
Na -2.236 3.450 -3.153
Na -4.716 4.838 0.124
B -5.040 -1.084 5.258
B -3.929 -2.935 1.141
B -2.489 -2.341 1.979
B -6.480 -1.678 4.420
B -5.058 1.656 4.084
B -4.022 -0.164 -0.103
B -2.572 0.150 0.861
B -6.512 1.246 3.157
B -7.276 2.334 2.118
B -2.045 1.831 0.548
B -4.786 0.924 -1.142
B -4.531 3.337 3.771
B -4.189 2.530 -1.370
B -2.738 3.030 -0.485
B -6.586 3.950 1.956
B -7.110 -0.360 3.386
B -4.712 -1.780 0.059
B -4.365 0.457 5.116
C -5.245 4.372 2.792
C -1.859 -0.885 1.839